# PBE Na2LiBrO, relaxed
data_Na2LiBrO
_chemical_formula_sum 'Na2 Li1 Br1 O1'
_symmetry_space_group_name_H-M 'P 4/m m m'
_symmetry_Int_Tables_number 123
_symmetry_space_group_name_Hall '-P 4 2'
_cell_length_a 4.750
_cell_length_b 4.750
_cell_length_c 3.843
_cell_angle_alpha 90.00
_cell_angle_beta 90.00
_cell_angle_gamma 90.00
loop_
_atom_site_label
_atom_site_type_symbol
_atom_site_fract_x
_atom_site_fract_y
_atom_site_fract_z
Na1 Na 0.000 0.500 0.000
Li1 Li 0.000 0.000 0.500
Br1 Br 0.500 0.500 0.500
O1 O 0.000 0.000 0.000
# - Electronic total energy: -3.722 eV/atom
# - ΔE_f (raw): -1.49 eV per atom
# - Crystal system: tetragonal